A relaxed V4AgTe8 crystal. Source: Alexandria, functional GGA-PBE.

a = 7.8645 Å, b = 7.8645 Å, c = 7.8645 Å
α = 60.00°, β = 60.00°, γ = 60.00°
Fractional coordinates of all 13 atoms:
V: 0.1080 0.1080 0.1080
V: 0.1080 0.1080 0.6759
V: 0.1080 0.6759 0.1080
V: 0.6759 0.1080 0.1080
Ag: 0.5000 0.5000 0.5000
Te: 0.3593 0.3593 0.3593
Te: 0.3593 0.3593 0.9221
Te: 0.3593 0.9221 0.3593
Te: 0.3923 0.8692 0.8692
Te: 0.8692 0.3923 0.8692
Te: 0.8692 0.8692 0.3923
Te: 0.8692 0.8692 0.8692
Te: 0.9221 0.3593 0.3593

Summary:
**Polymorph energy (0 for the lowest one)**: 0.00 eV per formula unit
**Fermi-level density of states**: 0.482 states/eV/atom
**E_form (uncorrected)**: -0.29 eV/atom
**DFT total energy**: -0.1928 Ha/atom